(1)
Here is a geometry-optimized LiTmIn structure from OQMD via LeMat-Bulk. Energies are from PBE-GGA.

a = 4.9705 Å, b = 4.9705 Å, c = 4.9705 Å
α = 60.00°, β = 60.00°, γ = 60.00°
Positions (direct):
Li: 0.0000 0.0000 0.0000
Tm: 0.7500 0.7500 0.7500
In: 0.5000 0.5000 0.5000



(2)
Here is a geometry-optimized LiTmIn2 structure from OQMD via LeMat-Bulk. Energies are from PBE-GGA.

a = 4.9445 Å, b = 4.9445 Å, c = 3.8096 Å
α = 90.00°, β = 90.00°, γ = 90.00°
Positions (direct):
Li: 0.0000 0.0000 0.0000
Tm: 0.5000 0.5000 0.0000
In: 0.0000 0.5000 0.5000
In: 0.5000 0.0000 0.5000



(3)
Here is a geometry-optimized LiZn2In structure from OQMD via LeMat-Bulk. Energies are from PBE-GGA.

a = 4.5652 Å, b = 4.5652 Å, c = 4.5652 Å
α = 60.00°, β = 60.00°, γ = 60.00°
Positions (direct):
Li: 0.0000 0.0000 0.0000
Zn: 0.2500 0.2500 0.2500
Zn: 0.5000 0.5000 0.5000
In: 0.7500 0.7500 0.7500



(4)
Here is a geometry-optimized Li4Zn3In structure from OQMD via LeMat-Bulk. Energies are from PBE-GGA.

a = 4.3813 Å, b = 4.3813 Å, c = 6.2471 Å
α = 90.00°, β = 90.00°, γ = 90.00°
Positions (direct):
Li: 0.0000 0.0000 0.0000
Li: 0.0000 0.5000 0.7312
Li: 0.5000 0.0000 0.2688
Li: 0.5000 0.5000 0.5000
Zn: 0.0000 0.0000 0.5000
Zn: 0.0000 0.5000 0.2703
Zn: 0.5000 0.0000 0.7297
In: 0.5000 0.5000 0.0000



Number 1: uncorrected energy -8.2 eV/cell. Number 2: uncorrected energy -13.4 eV/cell. Number 3: uncorrected energy -7.5 eV/cell. Number 4: uncorrected energy -16.1 eV/cell.